No. 1
Be2TeP: single point on PBEsol structure, SCAN.

a b c (Å): 5.030 5.030 11.316
angles (deg): 90.00 90.00 90.00
Space group I-42d (No. 122)
Unique sites:
Be: 0.197 0.250 0.125 (multiplicity 8)
Te: 0.000 0.000 0.500 (multiplicity 4)
P: 0.000 0.000 0.000 (multiplicity 4)

Calculated values
Formation energy (no corrections) in eV per atom: -0.193
E above lowest polymorph in meV/atom: 0
D(E_F) in states/eV/f.u.: 1.47
V in Å³/f.u.: 71.6
Crystal system: tetragonal



No. 2
ZnS: single point on PBEsol structure, SCAN.

a b c (Å): 3.7853 3.7853 12.3895
angles (deg): 90.00 90.00 120.00
Space group P6_3mc (No. 186)
Unique sites:
Zn: 0.0000 0.0000 0.0000 (multiplicity 2)
Zn: 0.3333 0.6667 0.2500 (multiplicity 2)
S: 0.0000 0.0000 0.3129 (multiplicity 2)
S: 0.3333 0.6667 0.0625 (multiplicity 2)

Calculated values
Formation energy (no corrections) in eV per atom: -0.941
D(E_F) in states/eV/f.u.: 0.00
V in Å³/f.u.: 38.4
Crystal system: hexagonal



No. 3
SrTl2Cd: single point on PBEsol structure, SCAN.

a b c (Å): 4.9532 4.9532 16.1382
angles (deg): 90.00 90.00 120.00
Space group R-3m (No. 166, hexagonal axes)
Unique sites:
Sr: 0.0000 0.0000 0.0000 (multiplicity 3)
Tl: 0.0000 0.0000 0.2276 (multiplicity 6)
Cd: 0.0000 0.0000 0.5000 (multiplicity 3)

Calculated values
D(E_F) in states/eV/f.u.: 1.50
Formation energy in meV per atom: -367
V in Å³/f.u.: 114.3
Crystal system: trigonal



No. 4
CdRh: single point on PBEsol structure, SCAN.

a b c (Å): 10.210 2.865 4.795
angles (deg): 90.00 113.67 90.00
Space group C2/m (No. 12)
Unique sites:
Cd: 0.112 0.000 0.303 (multiplicity 4)
Rh: 0.142 0.500 0.818 (multiplicity 4)

Calculated values
D(E_F) in states/eV/f.u.: 0.64
Formation energy in meV per atom: -80
V in Å³/f.u.: 32.1
Crystal system: monoclinic



No. 5
MoRuPt: single point on PBEsol structure, SCAN.

a b c (Å): 2.696 3.891 8.243
angles (deg): 90.00 90.00 90.00
Space group Imm2 (No. 44)
Unique sites:
Mo: 0.000 0.000 0.000 (multiplicity 2)
Ru: 0.000 0.000 0.341 (multiplicity 2)
Pt: 0.000 0.000 0.672 (multiplicity 2)

Calculated values
E above lowest polymorph in meV/atom: 0
D(E_F) in states/eV/f.u.: 2.48
Formation energy in meV per atom: -175
V in Å³/f.u.: 43.2
Crystal system: orthorhombic



No. 6
CoSi2Se: single point on PBEsol structure, SCAN.

a b c (Å): 5.374 5.374 10.426
angles (deg): 90.00 90.00 90.00
Space group I-42d (No. 122)
Unique sites:
Co: 0.000 0.000 0.000 (multiplicity 4)
Si: 0.195 0.250 0.125 (multiplicity 8)
Se: 0.000 0.000 0.500 (multiplicity 4)

Calculated values
Formation energy (no corrections) in eV per atom: 0.230
D(E_F) in states/eV/f.u.: 2.02
V in Å³/f.u.: 75.3
Crystal system: tetragonal



The lowest V belongs to which entry? CdRh